# 1
The following is a DFT calculation (meta-GGA SCAN) of a PBEsol-optimized structure of KSm3.

Results
Its density is 5.8 g/cm3. Its crystal system is tetragonal. The space group is I4/mmm. The calculated formation energy comes out at 0.52 eV/atom.

abc: 5.1309 5.1309 6.4238
angles: 113.54 113.54 90.00
Atoms (fractional coordinates):
K1 0.0000 0.0000 0.0000
Sm1 0.2500 0.7500 0.5000
Sm2 0.7500 0.2500 0.5000
Sm3 0.5000 0.5000 0.0000



# 2
The following is a DFT calculation (meta-GGA SCAN) of a PBEsol-optimized structure of HoVB4.

Results
Its density is 7.4 g/cm3. Its crystal system is orthorhombic. The space group is Pbam. The calculated formation energy comes out at -0.79 eV/atom.

abc: 3.3819 5.9582 11.5389
angles: 90.00 90.00 90.00
Atoms (fractional coordinates):
B1 0.0000 0.2865 0.8141
B2 0.0000 0.9771 0.8074
B3 0.0000 0.0229 0.1926
B4 0.0000 0.6151 0.4524
B5 0.0000 0.7865 0.6859
B6 0.0000 0.2135 0.3141
B7 0.0000 0.8849 0.9524
B8 0.0000 0.3849 0.5476
B9 0.0000 0.1151 0.0476
B10 0.0000 0.6351 0.0327
B11 0.0000 0.4771 0.6926
B12 0.0000 0.1351 0.4673
B13 0.0000 0.8649 0.5327
B14 0.0000 0.7135 0.1859
B15 0.0000 0.3649 0.9673
B16 0.0000 0.5229 0.3074
V1 0.5000 0.3724 0.4168
V2 0.5000 0.1276 0.9168
V3 0.5000 0.6276 0.5832
V4 0.5000 0.8724 0.0832
Ho1 0.5000 0.8756 0.3486
Ho2 0.5000 0.1244 0.6514
Ho3 0.5000 0.3756 0.1514
Ho4 0.5000 0.6244 0.8486